(1)
# Ac3Nd4In, relaxed, DFT PBE
data_Ac3Nd4In
_chemical_formula_sum 'Ac6 Nd8 In2'
_symmetry_space_group_name_H-M 'P m n 21'
_symmetry_Int_Tables_number 31
_symmetry_space_group_name_Hall 'P 2ac -2'
_cell_length_a 12.0618
_cell_length_b 7.5259
_cell_length_c 6.5122
_cell_angle_alpha 90.00
_cell_angle_beta 90.00
_cell_angle_gamma 90.00
loop_
_atom_site_label
_atom_site_type_symbol
_atom_site_fract_x
_atom_site_fract_y
_atom_site_fract_z
Ac1 Ac 0.0000 0.1252 0.0000
Ac2 Ac 0.2354 0.1280 0.3693
Nd1 Nd 0.0000 0.4032 0.5531
Nd2 Nd 0.0000 0.6264 0.0270
Nd3 Nd 0.2354 0.6294 0.3694
In1 In 0.0000 0.8624 0.5280
# E = -4.33 eV/atom
# calculated formation energy = -0.067 eV per atom
# DOS(E_F) = 18.56 states/eV per cell
# calculated density = 7712 kg/m³
# magnetic moment = 0.00 μB per cell

(2)
# CsSrTlCl4, relaxed, DFT PBE
data_CsSrTlCl4
_chemical_formula_sum 'Cs2 Sr2 Tl2 Cl8'
_symmetry_space_group_name_H-M 'I 4 m m'
_symmetry_Int_Tables_number 107
_symmetry_space_group_name_Hall 'I 4 -2'
_cell_length_a 5.6733
_cell_length_b 5.6733
_cell_length_c 16.9906
_cell_angle_alpha 90.00
_cell_angle_beta 90.00
_cell_angle_gamma 90.00
loop_
_atom_site_label
_atom_site_type_symbol
_atom_site_fract_x
_atom_site_fract_y
_atom_site_fract_z
Cs1 Cs 0.0000 0.0000 0.0000
Sr1 Sr 0.0000 0.0000 0.3613
Tl1 Tl 0.0000 0.0000 0.7080
Cl1 Cl 0.0000 0.0000 0.1947
Cl2 Cl 0.0000 0.0000 0.5356
Cl3 Cl 0.0000 0.5000 0.3634
# E = -3.64 eV/atom
# formation energy without anion corrections = -13.2 eV/f.u.
# DOS(E_F) = 0.00 states/eV per cell
# calculated density = 3442 kg/m³
# magnetic moment = 0.15 μB per cell

(3)
# FeTc2Pt, relaxed, DFT PBE
data_FeTc2Pt
_chemical_formula_sum 'Fe2 Tc4 Pt2'
_symmetry_space_group_name_H-M 'C 1 2/m 1'
_symmetry_Int_Tables_number 12
_symmetry_space_group_name_Hall '-C 2y'
_cell_length_a 9.0439
_cell_length_b 2.7215
_cell_length_c 4.6608
_cell_angle_alpha 90.00
_cell_angle_beta 100.50
_cell_angle_gamma 90.00
loop_
_atom_site_label
_atom_site_type_symbol
_atom_site_fract_x
_atom_site_fract_y
_atom_site_fract_z
Fe1 Fe 0.0000 0.0000 0.0000
Tc1 Tc 0.2470 0.5000 0.2364
Pt1 Pt 0.0000 0.5000 0.5000
# E = -8.81 eV/atom
# calculated formation energy = 0.003 eV per atom
# DOS(E_F) = 8.46 states/eV per cell
# calculated density = 13159 kg/m³
# magnetic moment = 3.95 μB per cell

(4)
# NaTb3Ir, relaxed, DFT PBE
data_NaTb3Ir
_chemical_formula_sum 'Na1 Tb3 Ir1'
_symmetry_space_group_name_H-M 'P m -3 m'
_symmetry_Int_Tables_number 221
_symmetry_space_group_name_Hall '-P 4 2 3'
_cell_length_a 5.4924
_cell_length_b 5.4924
_cell_length_c 5.4924
_cell_angle_alpha 90.00
_cell_angle_beta 90.00
_cell_angle_gamma 90.00
loop_
_atom_site_label
_atom_site_type_symbol
_atom_site_fract_x
_atom_site_fract_y
_atom_site_fract_z
Na1 Na 0.0000 0.0000 0.0000
Tb1 Tb 0.0000 0.5000 0.5000
Ir1 Ir 0.5000 0.5000 0.5000
# E = -5.07 eV/atom
# calculated formation energy = -0.257 eV per atom
# DOS(E_F) = 2.26 states/eV per cell
# calculated density = 6935 kg/m³
# magnetic moment = 0.00 μB per cell

(5)
# Nd3SmH8, relaxed, DFT PBE
data_Nd3SmH8
_chemical_formula_sum 'Nd3 Sm1 H8'
_symmetry_space_group_name_H-M 'P m -3 m'
_symmetry_Int_Tables_number 221
_symmetry_space_group_name_Hall '-P 4 2 3'
_cell_length_a 5.4458
_cell_length_b 5.4458
_cell_length_c 5.4458
_cell_angle_alpha 90.00
_cell_angle_beta 90.00
_cell_angle_gamma 90.00
loop_
_atom_site_label
_atom_site_type_symbol
_atom_site_fract_x
_atom_site_fract_y
_atom_site_fract_z
Nd1 Nd 0.0000 0.0000 0.5000
Sm1 Sm 0.5000 0.5000 0.5000
H1 H 0.2528 0.2528 0.2528
# E = -4.48 eV/atom
# DOS(E_F) = 2.59 states/eV per cell
# calculated density = 6078 kg/m³
# magnetic moment = 0.00 μB per cell

(6)
# InReGeRh2, relaxed, DFT PBE
data_InReGeRh2
_chemical_formula_sum 'In1 Re1 Ge1 Rh2'
_symmetry_space_group_name_H-M 'P 4/m m m'
_symmetry_Int_Tables_number 123
_symmetry_space_group_name_Hall '-P 4 2'
_cell_length_a 4.5100
_cell_length_b 4.5100
_cell_length_c 4.6517
_cell_angle_alpha 90.00
_cell_angle_beta 90.00
_cell_angle_gamma 90.00
loop_
_atom_site_label
_atom_site_type_symbol
_atom_site_fract_x
_atom_site_fract_y
_atom_site_fract_z
In1 In 0.0000 0.0000 0.0000
Re1 Re 0.5000 0.5000 0.0000
Ge1 Ge 0.5000 0.5000 0.5000
Rh1 Rh 0.0000 0.5000 0.5000
# E = -6.17 eV/atom
# calculated formation energy = 0.727 eV per atom
# DOS(E_F) = 6.24 states/eV per cell
# calculated density = 10170 kg/m³
# magnetic moment = 0.00 μB per cell

(7)
# TlCd3In2Hg6, relaxed, DFT PBE
data_TlCd3In2Hg6
_chemical_formula_sum 'Tl1 Cd3 In2 Hg6'
_symmetry_space_group_name_H-M 'P 4/m m m'
_symmetry_Int_Tables_number 123
_symmetry_space_group_name_Hall '-P 4 2'
_cell_length_a 4.1426
_cell_length_b 4.1426
_cell_length_c 21.8674
_cell_angle_alpha 90.00
_cell_angle_beta 90.00
_cell_angle_gamma 90.00
loop_
_atom_site_label
_atom_site_type_symbol
_atom_site_fract_x
_atom_site_fract_y
_atom_site_fract_z
Tl1 Tl 0.0000 0.0000 0.0000
Cd1 Cd 0.5000 0.5000 0.2344
Cd2 Cd 0.5000 0.5000 0.5000
In1 In 0.0000 0.0000 0.2959
Hg1 Hg 0.0000 0.5000 0.1251
Hg2 Hg 0.5000 0.5000 0.3713
# E = -0.92 eV/atom
# calculated formation energy = 0.118 eV per atom
# DOS(E_F) = 6.30 states/eV per cell
# calculated density = 8738 kg/m³
# magnetic moment = 0.00 μB per cell

(8)
# BaScCo, relaxed, DFT PBE
data_BaScCo
_chemical_formula_sum 'Ba1 Sc1 Co1'
_symmetry_space_group_name_H-M 'P 3 m 1'
_symmetry_Int_Tables_number 156
_symmetry_space_group_name_Hall 'P 3 -2"'
_cell_length_a 3.9814
_cell_length_b 3.9814
_cell_length_c 6.3637
_cell_angle_alpha 90.00
_cell_angle_beta 90.00
_cell_angle_gamma 120.00
loop_
_atom_site_label
_atom_site_type_symbol
_atom_site_fract_x
_atom_site_fract_y
_atom_site_fract_z
Ba1 Ba 0.0000 0.0000 0.0000
Sc1 Sc 0.6667 0.3333 0.4729
Co1 Co 0.3333 0.6667 0.3130
# E = -4.83 eV/atom
# calculated formation energy = 0.288 eV per atom
# DOS(E_F) = 1.61 states/eV per cell
# calculated density = 4585 kg/m³
# magnetic moment = 0.00 μB per cell

(9)
# LaZnB, relaxed, DFT PBE
data_LaZnB
_chemical_formula_sum 'La4 Zn4 B4'
_symmetry_space_group_name_H-M 'P n m a'
_symmetry_Int_Tables_number 62
_symmetry_space_group_name_Hall '-P 2ac 2n'
_cell_length_a 5.6804
_cell_length_b 5.8699
_cell_length_c 6.7738
_cell_angle_alpha 90.00
_cell_angle_beta 90.00
_cell_angle_gamma 90.00
loop_
_atom_site_label
_atom_site_type_symbol
_atom_site_fract_x
_atom_site_fract_y
_atom_site_fract_z
La1 La 0.1123 0.2500 0.1538
Zn1 Zn 0.1510 0.2500 0.6811
B1 B 0.0000 0.0000 0.5000
# E = -4.09 eV/atom
# calculated formation energy = 0.199 eV per atom
# DOS(E_F) = 4.67 states/eV per cell
# calculated density = 6326 kg/m³
# magnetic moment = 0.00 μB per cell

(10)
# Co2AgOs, relaxed, DFT PBE
data_Co2AgOs
_chemical_formula_sum 'Co8 Ag4 Os4'
_symmetry_space_group_name_H-M 'I -4 2 d'
_symmetry_Int_Tables_number 122
_symmetry_space_group_name_Hall 'I -4 2bw'
_cell_length_a 6.6856
_cell_length_b 6.6856
_cell_length_c 5.3679
_cell_angle_alpha 90.00
_cell_angle_beta 90.00
_cell_angle_gamma 90.00
loop_
_atom_site_label
_atom_site_type_symbol
_atom_site_fract_x
_atom_site_fract_y
_atom_site_fract_z
Co1 Co 0.2149 0.2500 0.1250
Ag1 Ag 0.0000 0.0000 0.5000
Os1 Os 0.0000 0.0000 0.0000
# E = -6.14 eV/atom
# calculated formation energy = 0.933 eV per atom
# DOS(E_F) = 16.22 states/eV per cell
# calculated density = 11515 kg/m³
# magnetic moment = 11.58 μB per cell

(11)
# NdHo2TmSc4, relaxed, DFT PBE
data_NdHo2TmSc4
_chemical_formula_sum 'Nd4 Ho8 Tm4 Sc16'
_symmetry_space_group_name_H-M 'C 1 2/c 1'
_symmetry_Int_Tables_number 15
_symmetry_space_group_name_Hall '-C 2yc'
_cell_length_a 13.0166
_cell_length_b 12.6604
_cell_length_c 6.5167
_cell_angle_alpha 90.00
_cell_angle_beta 120.04
_cell_angle_gamma 90.00
loop_
_atom_site_label
_atom_site_type_symbol
_atom_site_fract_x
_atom_site_fract_y
_atom_site_fract_z
Nd1 Nd 0.2500 0.2500 0.0000
Ho1 Ho 0.0000 0.0000 0.0000
Ho2 Ho 0.2500 0.2500 0.5000
Tm1 Tm 0.0000 0.5000 0.0000
Sc1 Sc 0.0000 0.2513 0.0009
Sc2 Sc 0.2490 0.4995 0.4975
# E = -5.03 eV/atom
# calculated formation energy = 0.433 eV per atom
# DOS(E_F) = 67.40 states/eV per cell
# calculated density = 5879 kg/m³
# magnetic moment = 14.12 μB per cell

(12)
# Pr8Co3IrCl4, relaxed, DFT PBE
data_Pr8Co3IrCl4
_chemical_formula_sum 'Pr24 Co9 Ir3 Cl12'
_symmetry_space_group_name_H-M 'R -3 m'
_symmetry_Int_Tables_number 166
_symmetry_space_group_name_Hall '-R 3 2"'
_cell_length_a 8.0720
_cell_length_b 8.0720
_cell_length_c 22.8229
_cell_angle_alpha 90.00
_cell_angle_beta 90.00
_cell_angle_gamma 120.00
loop_
_atom_site_label
_atom_site_type_symbol
_atom_site_fract_x
_atom_site_fract_y
_atom_site_fract_z
Pr1 Pr 0.0000 0.0000 0.2333
Pr2 Pr 0.0074 0.5037 0.7657
Co1 Co 0.0000 0.5000 0.5000
Ir1 Ir 0.0000 0.0000 0.5000
Cl1 Cl 0.0000 0.0000 0.0000
Cl2 Cl 0.0000 0.5000 0.0000
# E = -5.64 eV/atom
# formation energy without anion corrections = -14.5 eV/f.u.
# DOS(E_F) = 16.46 states/eV per cell
# calculated density = 6337 kg/m³
# magnetic moment = 0.00 μB per cell

> Among the records above, which one has the lowest DOS(E_F)?

CsSrTlCl4

> Which formula does entry 2 have?

CsSrTlCl4

> magnetic moment of number 12 (Pr8Co3IrCl4)?

0.00 μB per cell